[1]
# Tb4Mg2Sc PBE optimized geometry
data_Tb4Mg2Sc
_space_group_name_H-M_alt 'R -3 m'
_space_group_IT_number 166
_space_group_name_Hall '-R 3 2"'
_cell_length_a 5.4583
_cell_length_b 5.4583
_cell_length_c 25.9049
_cell_angle_alpha 90.00
_cell_angle_beta 90.00
_cell_angle_gamma 120.00
loop_
_atom_site_label
_atom_site_fract_x
_atom_site_fract_y
_atom_site_fract_z
Tb1 0.0000 0.0000 0.1309
Tb2 0.0000 0.0000 0.2575
Mg1 0.0000 0.0000 0.3807
Sc1 0.0000 0.0000 0.5000
# M_tot in μB per cell: 0.0
# Formation energy in eV per atom: 0.272

[2]
# Tb2Mg7Sc2 PBE optimized geometry
data_Tb2Mg7Sc2
_space_group_name_H-M_alt 'I m m 2'
_space_group_IT_number 44
_cell_length_a 5.183
_cell_length_b 14.305
_cell_length_c 7.591
_cell_angle_alpha 90.00
_cell_angle_beta 90.00
_cell_angle_gamma 90.00
loop_
_space_group_symop_operation_xyz
'x,y,z'
'-x,-y,z'
'-x,y,z'
'x,-y,z'
'x+1/2,y+1/2,z+1/2'
'-x+1/2,-y+1/2,z+1/2'
'-x+1/2,y+1/2,z+1/2'
'x+1/2,-y+1/2,z+1/2'
loop_
_atom_site_label
_atom_site_fract_x
_atom_site_fract_y
_atom_site_fract_z
Tb1 0.000 0.218 0.000
Mg1 0.000 0.000 0.227
Mg2 0.000 0.149 0.516
Mg3 0.000 0.369 0.307
Mg4 0.000 0.380 0.687
Sc1 0.000 0.000 0.817
Sc2 0.000 0.500 0.013
# M_tot in μB per cell: 0.0
# Formation energy in eV per atom: 0.066

[3]
# TbMgSc5 PBE optimized geometry
data_TbMgSc5
_space_group_name_H-M_alt 'C 1 2/c 1'
_space_group_IT_number 15
_cell_length_a 10.966
_cell_length_b 6.048
_cell_length_c 10.989
_cell_angle_alpha 90.00
_cell_angle_beta 95.14
_cell_angle_gamma 90.00
loop_
_space_group_symop_operation_xyz
'x,y,z'
'-x,-y,-z'
'-x,y,-z+1/2'
'x,-y,z+1/2'
'x+1/2,y+1/2,z'
'-x+1/2,-y+1/2,-z'
'-x+1/2,y+1/2,-z+1/2'
'x+1/2,-y+1/2,z+1/2'
loop_
_atom_site_label
_atom_site_fract_x
_atom_site_fract_y
_atom_site_fract_z
Tb1 0.250 0.250 0.000
Mg1 0.000 0.011 0.250
Sc1 0.000 0.467 0.750
Sc2 0.055 0.256 0.491
Sc3 0.242 0.257 0.303
# M_tot in μB per cell: 0.0
# Formation energy in eV per atom: 0.147
# Polymorph energy (0 for the lowest one) in meV per atom: 0

[4]
# Tb3MgSc PBE optimized geometry
data_Tb3MgSc
_space_group_name_H-M_alt 'C 1 2/m 1'
_space_group_IT_number 12
_cell_length_a 21.950
_cell_length_b 3.428
_cell_length_c 8.251
_cell_angle_alpha 90.00
_cell_angle_beta 108.43
_cell_angle_gamma 90.00
loop_
_space_group_symop_operation_xyz
'x,y,z'
'-x,-y,-z'
'-x,y,-z'
'x,-y,z'
'x+1/2,y+1/2,z'
'-x+1/2,-y+1/2,-z'
'-x+1/2,y+1/2,-z'
'x+1/2,-y+1/2,z'
loop_
_atom_site_label
_atom_site_fract_x
_atom_site_fract_y
_atom_site_fract_z
Tb1 0.017 0.000 0.220
Tb2 0.124 0.500 0.040
Tb3 0.178 0.000 0.442
Mg1 0.078 0.500 0.601
Sc1 0.234 0.500 0.823
# M_tot in μB per cell: 0.0
# Formation energy in eV per atom: 0.070
# Polymorph energy (0 for the lowest one) in meV per atom: 45